Computed, not measured: NiIr2Se after structural relaxation at the PBE level of DFT.

Properties
Distance to the lowest polymorph of the same formula in eV/atom: 0.087
Energy relative to the elements, uncorrected in meV per atom: 326

```
data_NiIr2Se
_symmetry_space_group_name_H-M 'P m m 2'
_symmetry_Int_Tables_number 25
_symmetry_space_group_name_Hall 'P 2 -2'
_cell_length_a 2.817
_cell_length_b 3.485
_cell_length_c 5.879
_cell_angle_alpha 90.00
_cell_angle_beta 90.00
_cell_angle_gamma 90.00
loop_
_atom_site_label
_atom_site_type_symbol
_atom_site_fract_x
_atom_site_fract_y
_atom_site_fract_z
Ni1 Ni 0.000 0.000 0.000
Ir1 Ir 0.000 0.000 0.499
Ir2 Ir 0.500 0.500 0.752
Se1 Se 0.500 0.500 0.199
```


Computed, not measured: TmSiIr after structural relaxation at the PBE level of DFT.

Properties
Energy relative to the elements, uncorrected in meV per atom: -1099

```
data_TmSiIr
_symmetry_space_group_name_H-M 'P n m a'
_symmetry_Int_Tables_number 62
_symmetry_space_group_name_Hall '-P 2ac 2n'
_cell_length_a 6.769
_cell_length_b 4.204
_cell_length_c 7.405
_cell_angle_alpha 90.00
_cell_angle_beta 90.00
_cell_angle_gamma 90.00
loop_
_atom_site_label
_atom_site_type_symbol
_atom_site_fract_x
_atom_site_fract_y
_atom_site_fract_z
Tm1 Tm 0.003 0.250 0.187
Si1 Si 0.204 0.750 0.388
Ir1 Ir 0.159 0.250 0.566
```


Computed, not measured: Mg7In2Hg after structural relaxation at the PBE level of DFT.

Properties
Distance to the lowest polymorph of the same formula in eV/atom: 0.365
DFT formation energy in eV per atom: 0.2996

```
data_Mg7In2Hg
_symmetry_space_group_name_H-M 'F m -3 m'
_symmetry_Int_Tables_number 225
_symmetry_space_group_name_Hall '-F 4 2 3'
_cell_length_a 10.597
_cell_length_b 10.597
_cell_length_c 10.597
_cell_angle_alpha 90.00
_cell_angle_beta 90.00
_cell_angle_gamma 90.00
loop_
_atom_site_label
_atom_site_type_symbol
_atom_site_fract_x
_atom_site_fract_y
_atom_site_fract_z
Mg1 Mg 0.000 0.000 0.000
Mg2 Mg 0.000 0.000 0.253
In1 In 0.250 0.250 0.250
Hg1 Hg 0.000 0.000 0.500
```


Computed, not measured: Nd6Y2Er3Tm after structural relaxation at the PBE level of DFT.

Properties
DFT formation energy in eV per atom: 0.0121

```
data_Nd6Y2Er3Tm
_symmetry_space_group_name_H-M 'C 1 2/m 1'
_symmetry_Int_Tables_number 12
_symmetry_space_group_name_Hall '-C 2y'
_cell_length_a 6.262
_cell_length_b 10.845
_cell_length_c 11.810
_cell_angle_alpha 90.00
_cell_angle_beta 100.15
_cell_angle_gamma 90.00
loop_
_atom_site_label
_atom_site_type_symbol
_atom_site_fract_x
_atom_site_fract_y
_atom_site_fract_z
Nd1 Nd 0.249 0.000 0.249
Nd2 Nd 0.250 0.166 0.751
Y1 Y 0.000 0.333 0.500
Er1 Er 0.000 0.167 0.000
Er2 Er 0.000 0.500 0.000
Tm1 Tm 0.000 0.000 0.500
```


Computed, not measured: La4Al3In after structural relaxation at the PBE level of DFT.

Properties
DFT formation energy in eV per atom: -0.3874

```
data_La4Al3In
_symmetry_space_group_name_H-M 'R -3 m'
_symmetry_Int_Tables_number 166
_symmetry_space_group_name_Hall '-R 3 2"'
_cell_length_a 5.4304
_cell_length_b 5.4304
_cell_length_c 26.6304
_cell_angle_alpha 90.00
_cell_angle_beta 90.00
_cell_angle_gamma 120.00
loop_
_atom_site_label
_atom_site_type_symbol
_atom_site_fract_x
_atom_site_fract_y
_atom_site_fract_z
La1 La 0.0000 0.0000 0.1223
La2 La 0.0000 0.0000 0.3724
Al1 Al 0.0000 0.0000 0.0000
Al2 Al 0.0000 0.0000 0.2485
In1 In 0.0000 0.0000 0.5000
```


Computed, not measured: Ag2CSe after structural relaxation at the PBE level of DFT.

Properties
Distance to the lowest polymorph of the same formula in eV/atom: 0.224
Energy relative to the elements, uncorrected in meV per atom: 1391

```
data_Ag2CSe
_symmetry_space_group_name_H-M 'F m -3 m'
_symmetry_Int_Tables_number 225
_symmetry_space_group_name_Hall '-F 4 2 3'
_cell_length_a 6.392
_cell_length_b 6.392
_cell_length_c 6.392
_cell_angle_alpha 90.00
_cell_angle_beta 90.00
_cell_angle_gamma 90.00
loop_
_atom_site_label
_atom_site_type_symbol
_atom_site_fract_x
_atom_site_fract_y
_atom_site_fract_z
Ag1 Ag 0.250 0.250 0.250
C1 C 0.000 0.000 0.000
Se1 Se 0.000 0.000 0.500
```


Computed, not measured: Hf3Ga after structural relaxation at the PBE level of DFT.

Properties
DFT formation energy in eV per atom: -0.1850

```
data_Hf3Ga
_symmetry_space_group_name_H-M 'I m m 2'
_symmetry_Int_Tables_number 44
_symmetry_space_group_name_Hall 'I 2 -2'
_cell_length_a 3.143
_cell_length_b 10.002
_cell_length_c 5.231
_cell_angle_alpha 90.00
_cell_angle_beta 90.00
_cell_angle_gamma 90.00
loop_
_atom_site_label
_atom_site_type_symbol
_atom_site_fract_x
_atom_site_fract_y
_atom_site_fract_z
Hf1 Hf 0.000 0.000 0.000
Hf2 Hf 0.000 0.236 0.380
Ga1 Ga 0.000 0.500 0.032
```


Computed, not measured: Li2PaHgO4 after structural relaxation at the PBE level of DFT.

Properties
Energy relative to the elements, uncorrected in meV per atom: -2038

```
data_Li2PaHgO4
_symmetry_space_group_name_H-M 'I -4 2 m'
_symmetry_Int_Tables_number 121
_symmetry_space_group_name_Hall 'I -4 2'
_cell_length_a 5.672
_cell_length_b 5.672
_cell_length_c 6.972
_cell_angle_alpha 90.00
_cell_angle_beta 90.00
_cell_angle_gamma 90.00
loop_
_atom_site_label
_atom_site_type_symbol
_atom_site_fract_x
_atom_site_fract_y
_atom_site_fract_z
Li1 Li 0.000 0.500 0.250
Pa1 Pa 0.000 0.000 0.000
Hg1 Hg 0.000 0.000 0.500
O1 O 0.217 0.217 0.167
```


Computed, not measured: SbP2SO after structural relaxation at the PBE level of DFT.

Properties
Distance to the lowest polymorph of the same formula in eV/atom: 0.048
Energy relative to the elements, uncorrected in meV per atom: 420

```
data_SbP2SO
_symmetry_space_group_name_H-M 'P 4/m m m'
_symmetry_Int_Tables_number 123
_symmetry_space_group_name_Hall '-P 4 2'
_cell_length_a 3.888
_cell_length_b 3.888
_cell_length_c 6.070
_cell_angle_alpha 90.00
_cell_angle_beta 90.00
_cell_angle_gamma 90.00
loop_
_atom_site_label
_atom_site_type_symbol
_atom_site_fract_x
_atom_site_fract_y
_atom_site_fract_z
Sb1 Sb 0.000 0.000 0.000
P1 P 0.000 0.500 0.500
S1 S 0.500 0.500 0.000
O1 O 0.500 0.500 0.500
```


Computed, not measured: CeTlPdSe3 after structural relaxation at the PBE level of DFT.

Properties
Energy relative to the elements, uncorrected in meV per atom: -992

```
data_CeTlPdSe3
_symmetry_space_group_name_H-M 'P 1 21/m 1'
_symmetry_Int_Tables_number 11
_symmetry_space_group_name_Hall '-P 2yb'
_cell_length_a 8.952
_cell_length_b 4.265
_cell_length_c 9.476
_cell_angle_alpha 90.00
_cell_angle_beta 107.15
_cell_angle_gamma 90.00
loop_
_atom_site_label
_atom_site_type_symbol
_atom_site_fract_x
_atom_site_fract_y
_atom_site_fract_z
Ce1 Ce 0.185 0.250 0.163
Tl1 Tl 0.305 0.750 0.772
Pd1 Pd 0.407 0.750 0.423
Se1 Se 0.041 0.250 0.842
Se2 Se 0.289 0.250 0.479
Se3 Se 0.385 0.750 0.134
```


Computed, not measured: Ac2PaRuN4 after structural relaxation at the PBE level of DFT.

Properties
Energy relative to the elements, uncorrected in meV per atom: -385

```
data_Ac2PaRuN4
_symmetry_space_group_name_H-M 'I -4 2 m'
_symmetry_Int_Tables_number 121
_symmetry_space_group_name_Hall 'I -4 2'
_cell_length_a 6.452
_cell_length_b 6.452
_cell_length_c 6.362
_cell_angle_alpha 90.00
_cell_angle_beta 90.00
_cell_angle_gamma 90.00
loop_
_atom_site_label
_atom_site_type_symbol
_atom_site_fract_x
_atom_site_fract_y
_atom_site_fract_z
Ac1 Ac 0.000 0.500 0.000
Pa1 Pa 0.000 0.000 0.000
Ru1 Ru 0.000 0.000 0.500
N1 N 0.160 0.160 0.268
```


Computed, not measured: La5Nd2Ho6 after structural relaxation at the PBE level of DFT.

Properties
DFT formation energy in eV per atom: 0.0920

```
data_La5Nd2Ho6
_symmetry_space_group_name_H-M 'P b a m'
_symmetry_Int_Tables_number 55
_symmetry_space_group_name_Hall '-P 2 2ab'
_cell_length_a 11.773
_cell_length_b 21.036
_cell_length_c 3.639
_cell_angle_alpha 90.00
_cell_angle_beta 90.00
_cell_angle_gamma 90.00
loop_
_atom_site_label
_atom_site_type_symbol
_atom_site_fract_x
_atom_site_fract_y
_atom_site_fract_z
La1 La 0.000 0.000 0.000
La2 La 0.061 0.289 0.000
La3 La 0.197 0.568 0.000
Nd1 Nd 0.197 0.731 0.500
Ho1 Ho 0.060 0.142 0.500
Ho2 Ho 0.075 0.433 0.500
Ho3 Ho 0.191 0.876 0.000
```